Entry 1:
Here is a relaxed structure of ZnSi2Ge2 from Alexandria. Energies are from PBE-GGA.

```
ZnSi2Ge2
1.0
6.550 0.000 0.000
0.000 6.550 0.000
0.000 0.000 4.242
Zn Si Ge
2 4 4
Direct
0.000 0.000 0.000
0.500 0.500 0.000
0.128 0.372 0.000
0.372 0.872 0.000
0.628 0.128 0.000
0.872 0.628 0.000
0.211 0.711 0.500
0.289 0.211 0.500
0.711 0.789 0.500
0.789 0.289 0.500
```

As for the formation energy from raw total energies: 0.3649 eV per atom. For the energy above the lowest structure with this stoichiometry, the calculation gives 3 kJ/mol of formula units. The space group is P4/mbm.

---

Entry 2:
Here is a relaxed structure of LiPrMgCu from Alexandria. Energies are from PBE-GGA.

```
LiPrMgCu
1.0
0.000 3.483 3.483
3.483 0.000 3.483
3.483 3.483 0.000
Li Pr Mg Cu
1 1 1 1
Direct
0.000 0.000 0.000
0.250 0.250 0.250
0.750 0.750 0.750
0.500 0.500 0.500
```

The calculation puts the energy of formation at -87 meV/atom. The space group is F-43m.

---

Entry 3:
Here is a relaxed structure of TlMo3As from Alexandria. Energies are from PBE-GGA.

```
TlMo3As
1.0
4.656 0.000 0.000
0.000 4.656 0.000
0.000 0.000 4.656
Tl Mo As
1 3 1
Direct
0.000 0.000 0.000
0.000 0.500 0.500
0.500 0.000 0.500
0.500 0.500 0.000
0.500 0.500 0.500
```

The calculation puts the energy of formation at 1073 meV/atom. For the energy above the lowest structure with this stoichiometry, the calculation gives 0 kJ/mol of formula units. The space group is Pm-3m.

---

no.,Fermi-level density of states (states/eV per atom)
1,0.2785
2,1.1787
3,1.2666